The following is a DFT calculation (PBE+U) of a relaxed VCuOs2O crystal.

Cell and atoms, written as POSCAR:
```
VCuOs2O
1.0
-0.3574 -2.4991 -3.7351
1.2866 -3.7140 2.3619
-4.3124 -0.8639 0.9907
Os O Cu V
2 1 1 1
Direct
0.0000 0.0000 0.5000 Os
0.5000 0.0000 0.0000 Os
0.5000 0.5000 0.5000 O
0.0000 0.5000 0.0000 Cu
0.0000 0.0000 0.0000 V
```

Results
The total magnetization is 3.263 μB/f.u. The space group is P4/mmm, No. 123. The total energy comes out at -5.31 eV per atom.